(1)
# Ba3Mg

Ba3Mg after structural relaxation (GGA-PBEsol, Alexandria via LeMat-Bulk).

a = 7.8848 Å, b = 12.3486 Å, c = 7.8645 Å
α = 90.00°, β = 90.00°, γ = 90.00°
Space group Pnma (No. 62)
Unique sites:
Ba: 0.0111 0.2500 0.0591 [4 per cell]
Ba: 0.1924 0.5227 0.3011 [8 per cell]
Mg: 0.0461 0.2500 0.5322 [4 per cell]

Summary:
total energy	-2.0136	eV per atom
offset from the most stable computed form	43	meV/atom
size of the total moment	0.000	μB per atom
ΔH_f (0 K)	0.027	eV/atom
D(E_F)	26.946	states/eV per cell



(2)
# Al2AsSe

Al2AsSe after structural relaxation (GGA-PBEsol, Alexandria via LeMat-Bulk).

a = 3.4947 Å, b = 3.4981 Å, c = 12.3701 Å
α = 90.00°, β = 90.00°, γ = 90.00°
Space group Imm2 (No. 44)
Unique sites:
Al: 0.0000 0.0000 0.0000 [2 per cell]
Al: 0.0000 0.5000 0.2308 [2 per cell]
As: 0.0000 0.5000 0.6586 [2 per cell]
Se: 0.0000 0.0000 0.4069 [2 per cell]

Summary:
total energy	-4.4828	eV per atom
E_form (uncorrected)	-0.1979	eV/atom
size of the total moment	0.000	μB per atom
D(E_F)	2.490	states/eV per cell